(1)
First-principles (PBE) data for crystalline LiPaGeO6 at its relaxed geometry, as listed in the Alexandria database.

POSCAR file:
```
LiPaGeO6
1.0
-3.879 2.512 -1.055
-2.204 -4.212 -1.925
-0.593 1.166 4.958
O Pa Li Ge
6 1 1 1
Cartesian
-3.022 2.156 0.750
-1.905 -0.225 0.664
-1.488 1.468 3.162
-4.075 1.715 3.573
-3.168 -1.068 3.304
-4.759 -0.268 1.366
-1.130 -0.626 2.664
-3.607 -1.163 -0.158
-1.940 1.256 -0.527
```

Summary:
Its uncorrected energy is -7.13 eV per atom. The calculation puts the density of states at the Fermi level at 5.4 states/eV/f.u. The calculation puts the energy relative to the elements, uncorrected at -2.040 eV/atom. The total moment is 2.03 Bohr magnetons per cell.

(2)
First-principles (PBE) data for crystalline K2SbW at its relaxed geometry, as listed in the Alexandria database.

POSCAR file:
```
K2SbW
1.0
-3.209 9.358 -9.113
-10.062 -7.755 -4.421
-8.263 1.927 -5.038
Sb K W
2 4 2
Cartesian
-12.480 -2.513 -8.113
-6.635 0.802 -6.767
-4.634 3.334 -5.533
-13.354 0.367 -9.812
-15.629 4.529 -14.663
-9.451 -1.168 -7.136
-9.053 6.044 -10.459
0.000 0.000 0.000
```

Summary:
Its uncorrected energy is -3.89 eV per atom. The calculation puts the density of states at the Fermi level at 1.9 states/eV/f.u. The calculation puts the energy relative to the elements, uncorrected at 0.926 eV/atom. The total moment is 6.04 Bohr magnetons per cell.

(3)
First-principles (PBE) data for crystalline SrPr2Pa at its relaxed geometry, as listed in the Alexandria database.

POSCAR file:
```
SrPr2Pa
1.0
-2.971 -1.395 -1.463
0.023 -1.085 -3.426
2.645 -12.431 2.069
Pr Pa Sr
2 1 1
Cartesian
-1.916 -5.782 -3.837
1.613 -9.129 1.016
-0.152 -7.455 -1.410
0.000 0.000 0.000
```

Summary:
Its uncorrected energy is -4.88 eV per atom. The calculation puts the density of states at the Fermi level at 4.9 states/eV/f.u. The total moment is 0.00 Bohr magnetons per cell. The calculation puts the energy of formation from the pure elements at 303 meV per atom.

(4)
First-principles (PBE) data for crystalline CsPm3As4O12 at its relaxed geometry, as listed in the Alexandria database.

POSCAR file:
```
CsPm3As4O12
1.0
7.473 0.045 0.063
-1.757 7.264 0.063
-1.757 -2.246 6.908
As O Cs Pm
4 12 1 3
Cartesian
-1.934 1.560 6.420
1.980 2.532 3.517
5.894 -0.529 3.517
1.980 6.564 0.614
1.196 2.854 0.158
-1.022 0.979 2.757
1.980 0.946 4.658
-1.939 5.597 3.517
2.764 5.819 4.277
0.441 3.735 3.517
1.980 -1.507 6.424
1.478 3.214 6.876
4.982 2.759 5.231
3.518 2.913 2.376
5.899 3.504 0.610
2.482 -0.437 1.803
0.000 0.000 0.000
-1.757 3.141 3.031
2.245 -1.253 3.941
3.472 3.175 0.063
```

Summary:
Its uncorrected energy is -6.45 eV per atom. The calculation puts the density of states at the Fermi level at 5.7 states/eV/f.u. The calculation puts the energy relative to the elements, uncorrected at -1.785 eV/atom. The total moment is 0.00 Bohr magnetons per cell.

(5)
First-principles (PBE) data for crystalline PmAgIO2 at its relaxed geometry, as listed in the Alexandria database.

POSCAR file:
```
PmAgIO2
1.0
-1.800 2.485 -4.923
4.893 -1.774 -2.684
-5.411 -4.678 -0.383
O Ag Pm I
4 2 2 2
Cartesian
2.653 -0.046 -4.410
1.341 -0.486 -0.736
3.553 -1.288 -1.949
0.441 0.756 -3.197
-0.778 -5.476 -4.188
-1.539 1.508 -3.802
-3.757 -2.657 -5.093
1.440 -1.311 -2.897
-1.910 -2.121 -2.081
-0.407 -1.847 -5.910
```

Summary:
Its uncorrected energy is -5.33 eV per atom. The calculation puts the density of states at the Fermi level at 2.6 states/eV/f.u. The calculation puts the energy relative to the elements, uncorrected at -1.516 eV/atom. The total moment is 0.41 Bohr magnetons per cell.

(6)
First-principles (PBE) data for crystalline Ca2TcBr at its relaxed geometry, as listed in the Alexandria database.

POSCAR file:
```
Ca2TcBr
1.0
5.898 0.003 -0.100
4.864 3.335 -0.100
-0.218 -0.067 5.065
Ca Tc Br
2 1 1
Cartesian
2.743 0.851 1.786
10.460 3.245 4.314
5.606 1.739 1.937
7.550 2.342 4.126
```

Summary:
Its uncorrected energy is -4.04 eV per atom. The distance to the lowest polymorph of the same formula comes out at 0.219 eV/atom. The calculation puts the density of states at the Fermi level at 3.6 states/eV/f.u. The calculation puts the energy relative to the elements, uncorrected at -0.028 eV/atom. The total moment is 1.75 Bohr magnetons per cell.

(7)
First-principles (PBE) data for crystalline B3PtO at its relaxed geometry, as listed in the Alexandria database.

POSCAR file:
```
B3PtO
1.0
3.523 0.000 0.000
0.000 3.523 0.000
0.000 0.000 3.523
O B Pt
1 3 1
Cartesian
0.000 0.000 0.000
1.762 0.000 0.000
0.000 1.762 0.000
0.000 0.000 1.762
1.762 1.762 1.762
```

Summary:
Its uncorrected energy is -4.98 eV per atom. The distance to the lowest polymorph of the same formula comes out at 0.029 eV/atom. The calculation puts the density of states at the Fermi level at 1.8 states/eV/f.u. The calculation puts the energy relative to the elements, uncorrected at 1.227 eV/atom. The total moment is 0.00 Bohr magnetons per cell.

(8)
First-principles (PBE) data for crystalline Tb3Y4Sc2 at its relaxed geometry, as listed in the Alexandria database.

POSCAR file:
```
Tb3Y4Sc2
1.0
6.275 1.846 1.322
2.801 10.981 1.790
2.801 5.232 9.818
Sc Y Tb
4 8 6
Cartesian
4.049 9.660 9.531
7.828 8.400 3.399
7.186 13.058 6.735
4.690 5.001 6.196
2.832 9.691 3.088
7.875 6.152 5.887
5.970 6.969 8.840
4.001 11.908 7.043
9.044 8.368 9.842
4.738 6.632 3.266
5.906 11.090 4.090
7.138 11.428 9.664
6.697 3.923 3.393
4.369 8.607 6.080
8.316 14.506 10.971
5.179 14.137 9.537
3.560 3.553 1.959
7.507 9.452 6.850
```

Summary:
Its uncorrected energy is -5.72 eV per atom. The distance to the lowest polymorph of the same formula comes out at 0.000 eV/atom. The calculation puts the density of states at the Fermi level at 13.7 states/eV/f.u. The total moment is 0.00 Bohr magnetons per cell. The calculation puts the energy of formation from the pure elements at 100 meV per atom.